Nb2Ge2Mo | GGA-PBE | optimized geometry

Lattice parameters (Å, degrees): 3.866 3.866 11.766 90.00 90.00 90.00
Space group I4/mmm (No. 139)
Symmetry-distinct sites (fractional):
Nb 0.000 0.500 0.250 (multiplicity 4)
Ge 0.000 0.000 0.097 (multiplicity 4)
Mo 0.000 0.000 0.500 (multiplicity 2)

Values from the calculation:
**Final energy**: -7.7127 eV/atom


GdScZn2Sn2 | GGA-PBE | optimized geometry

Lattice parameters (Å, degrees): 4.4543 4.4543 15.5218 90.00 90.00 120.00
Space group P6_3/mmc (No. 194)
Symmetry-distinct sites (fractional):
Gd 0.0000 0.0000 0.0000 (multiplicity 2)
Sc 0.0000 0.0000 0.2500 (multiplicity 2)
Zn 0.3333 0.6667 0.1649 (multiplicity 4)
Sn 0.3333 0.6667 0.6180 (multiplicity 4)

Values from the calculation:
**Energy relative to the lowest polymorph listed for this composition**: 0.0000 eV/atom


Number 1: ρ 8.1 g cm⁻³. Number 2: ρ 7.1 g cm⁻³.